(1)
# AlSnSb, optimized geometry, DFT PBE
data_AlSnSb
_chemical_formula_sum 'Al2 Sn2 Sb2'
_cell_length_a 4.212
_cell_length_b 7.040
_cell_length_c 5.806
_cell_angle_alpha 96.50
_cell_angle_beta 111.27
_cell_angle_gamma 90.00
_space_group_name_H-M_alt 'P 1'
_space_group_IT_number 1
_space_group_name_Hall 'P 1'
loop_
_atom_site_label
_atom_site_type_symbol
_atom_site_fract_x
_atom_site_fract_y
_atom_site_fract_z
_atom_site_occupancy
Al1 Al 0.340 0.443 0.679 1
Al2 Al 0.660 0.557 0.321 1
Sb1 Sb 0.077 0.314 0.154 1
Sb2 Sb 0.923 0.686 0.846 1
Sn1 Sn 0.354 0.047 0.708 1
Sn2 Sn 0.646 0.953 0.292 1
# size of the total moment	0.000	Bohr magnetons per cell
# space-group type	No. 12
# uncorrected energy	-3.8356	eV/atom

***

(2)
# AlSn2Sb, optimized geometry, DFT PBE
data_AlSn2Sb
_chemical_formula_sum 'Al1 Sn2 Sb1'
_cell_length_a 3.291
_cell_length_b 3.291
_cell_length_c 11.233
_cell_angle_alpha 81.58
_cell_angle_beta 81.58
_cell_angle_gamma 60.00
_space_group_name_H-M_alt 'P 1'
_space_group_IT_number 1
_space_group_name_Hall 'P 1'
loop_
_atom_site_label
_atom_site_type_symbol
_atom_site_fract_x
_atom_site_fract_y
_atom_site_fract_z
_atom_site_occupancy
Sn1 Sn 0.094 0.094 0.717 1
Sn2 Sn 0.906 0.906 0.283 1
Al1 Al 0.500 0.500 0.500 1
Sb1 Sb 0.000 0.000 0.000 1
# size of the total moment	0.000	Bohr magnetons per cell
# space-group type	No. 166
# uncorrected energy	-3.8333	eV/atom

***

(3)
# AlSnSb, optimized geometry, DFT PBE
data_AlSnSb
_chemical_formula_sum 'Al1 Sn1 Sb1'
_cell_length_a 3.144
_cell_length_b 5.217
_cell_length_c 5.217
_cell_angle_alpha 120.00
_cell_angle_beta 90.00
_cell_angle_gamma 90.00
_space_group_name_H-M_alt 'P 1'
_space_group_IT_number 1
_space_group_name_Hall 'P 1'
loop_
_atom_site_label
_atom_site_type_symbol
_atom_site_fract_x
_atom_site_fract_y
_atom_site_fract_z
_atom_site_occupancy
Al1 Al 0.164 0.000 0.000 1
Sn1 Sn 0.673 0.333 0.667 1
Sb1 Sb 0.163 0.667 0.333 1
# size of the total moment	0.000	Bohr magnetons per cell
# space-group type	No. 156
# uncorrected energy	-3.7693	eV/atom

***

(4)
# Al2SnSb2, optimized geometry, DFT PBE
data_Al2SnSb2
_chemical_formula_sum 'Al2 Sn1 Sb2'
_cell_length_a 5.384
_cell_length_b 5.384
_cell_length_c 5.861
_cell_angle_alpha 62.66
_cell_angle_beta 62.66
_cell_angle_gamma 90.00
_space_group_name_H-M_alt 'P 1'
_space_group_IT_number 1
_space_group_name_Hall 'P 1'
loop_
_atom_site_label
_atom_site_type_symbol
_atom_site_fract_x
_atom_site_fract_y
_atom_site_fract_z
_atom_site_occupancy
Al1 Al 0.645 0.645 0.710 1
Al2 Al 0.355 0.355 0.290 1
Sn1 Sn 0.000 0.000 0.000 1
Sb1 Sb 0.250 0.750 0.500 1
Sb2 Sb 0.750 0.250 0.500 1
# size of the total moment	0.000	Bohr magnetons per cell
# space-group type	No. 139
# uncorrected energy	-3.7809	eV/atom

***

(5)
# AlSnSb, optimized geometry, DFT PBE
data_AlSnSb
_chemical_formula_sum 'Al2 Sn2 Sb2'
_cell_length_a 4.425
_cell_length_b 5.068
_cell_length_c 6.830
_cell_angle_alpha 90.00
_cell_angle_beta 99.78
_cell_angle_gamma 90.00
_space_group_name_H-M_alt 'P 1'
_space_group_IT_number 1
_space_group_name_Hall 'P 1'
loop_
_atom_site_label
_atom_site_type_symbol
_atom_site_fract_x
_atom_site_fract_y
_atom_site_fract_z
_atom_site_occupancy
Sb1 Sb 0.753 0.500 0.810 1
Sb2 Sb 0.152 0.000 0.008 1
Al1 Al 0.169 0.500 0.535 1
Al2 Al 0.458 0.000 0.675 1
Sn1 Sn 0.881 0.000 0.389 1
Sn2 Sn 0.494 0.500 0.202 1
# size of the total moment	0.000	Bohr magnetons per cell
# space-group type	No. 6
# uncorrected energy	-3.8683	eV/atom

***

(6)
# AlSnSb2, optimized geometry, DFT PBE
data_AlSnSb2
_chemical_formula_sum 'Al1 Sn1 Sb2'
_cell_length_a 5.239
_cell_length_b 5.239
_cell_length_c 5.239
_cell_angle_alpha 60.00
_cell_angle_beta 60.00
_cell_angle_gamma 60.00
_space_group_name_H-M_alt 'P 1'
_space_group_IT_number 1
_space_group_name_Hall 'P 1'
loop_
_atom_site_label
_atom_site_type_symbol
_atom_site_fract_x
_atom_site_fract_y
_atom_site_fract_z
_atom_site_occupancy
Sn1 Sn 0.500 0.500 0.500 1
Sb1 Sb 0.750 0.750 0.750 1
Sb2 Sb 0.250 0.250 0.250 1
Al1 Al 0.000 0.000 0.000 1
# size of the total moment	0.000	Bohr magnetons per cell
# space-group type	No. 225
# uncorrected energy	-3.7837	eV/atom